DFT (PBE-GGA) results for a relaxed structure of Ba2ZnH.

extended XYZ file:
```
8
Lattice="-3.9054 3.9054 4.4614 3.9054 -3.9054 4.4614 3.9054 3.9054 -4.4614" Properties=species:S:1:pos:R:3 pbc="T T T"
Ba 5.8581 1.3335 -1.1153
Ba 1.3335 1.9527 1.1153
Ba -1.9527 2.5718 3.3460
Ba 2.5718 1.9527 5.5767
Zn 3.9054 0.0000 2.2307
Zn 0.0000 0.0000 4.4614
H 0.0000 0.0000 0.0000
H 0.0000 3.9054 2.2307
```

Computed properties:
offset from the most stable computed form: 0 meV/atom
DFT total energy: -2.249 eV/atom
calculated density: 4.16 g/cm³